# KGaOs2 PBE relaxed
# - formation energy from the elements (meV per atom) = 1038
data_KGaOs2
_cell_length_a 4.431
_cell_length_b 4.431
_cell_length_c 18.553
_cell_angle_alpha 90.00
_cell_angle_beta 90.00
_cell_angle_gamma 90.00
_space_group_name_H-M_alt 'I -4 2 d'
_space_group_IT_number 122
_space_group_name_Hall 'I -4 2bw'
loop_
_atom_site_label
_atom_site_fract_x
_atom_site_fract_y
_atom_site_fract_z
_atom_site_occupancy
K1 0.000 0.000 0.000 1
Ga1 0.000 0.000 0.500 1
Os1 0.110 0.750 0.625 1

# AcTbAsPt PBE relaxed
# - formation energy from the elements (meV per atom) = -966
data_AcTbAsPt
_cell_length_a 7.408
_cell_length_b 7.408
_cell_length_c 7.408
_cell_angle_alpha 90.00
_cell_angle_beta 90.00
_cell_angle_gamma 90.00
_space_group_name_H-M_alt 'F -4 3 m'
_space_group_IT_number 216
_space_group_name_Hall 'F -4 2 3'
loop_
_atom_site_label
_atom_site_fract_x
_atom_site_fract_y
_atom_site_fract_z
_atom_site_occupancy
Ac1 0.000 0.000 0.000 1
Tb1 0.000 0.000 0.500 1
As1 0.250 0.250 0.250 1
Pt1 0.250 0.250 0.750 1

# PuCuAg2Se4 PBE relaxed
# - raw formation energy (eV/atom) = -0.4289
data_PuCuAg2Se4
_cell_length_a 4.007
_cell_length_b 13.304
_cell_length_c 13.289
_cell_angle_alpha 90.00
_cell_angle_beta 90.00
_cell_angle_gamma 90.00
_space_group_name_H-M_alt 'C m c m'
_space_group_IT_number 63
_space_group_name_Hall '-C 2c 2'
loop_
_atom_site_label
_atom_site_fract_x
_atom_site_fract_y
_atom_site_fract_z
_atom_site_occupancy
Pu1 0.000 0.106 0.250 1
Cu1 0.000 0.160 0.750 1
Ag1 0.000 0.372 0.062 1
Se1 0.000 0.000 0.000 1
Se2 0.000 0.295 0.623 1
Se3 0.000 0.446 0.250 1

# SrCa6Ac2 PBE relaxed
# - formation energy from the elements (meV per atom) = 58
data_SrCa6Ac2
_cell_length_a 3.9259
_cell_length_b 3.9259
_cell_length_c 29.8628
_cell_angle_alpha 90.00
_cell_angle_beta 90.00
_cell_angle_gamma 120.00
_space_group_name_H-M_alt 'P -6 m 2'
_space_group_IT_number 187
_space_group_name_Hall 'P -6 2'
loop_
_atom_site_label
_atom_site_fract_x
_atom_site_fract_y
_atom_site_fract_z
_atom_site_occupancy
Sr1 0.0000 0.0000 0.0000 1
Ca1 0.0000 0.0000 0.2209 1
Ca2 0.0000 0.0000 0.4382 1
Ca3 0.3333 0.6667 0.1136 1
Ac1 0.3333 0.6667 0.3299 1

# LiNdAsH PBE relaxed
# - electronic total energy (eV per atom) = -4.625
data_LiNdAsH
_cell_length_a 4.030
_cell_length_b 4.030
_cell_length_c 8.306
_cell_angle_alpha 90.00
_cell_angle_beta 90.00
_cell_angle_gamma 90.00
_space_group_name_H-M_alt 'P 4/n m m'
_space_group_IT_number 129
loop_
_space_group_symop_operation_xyz
'x,y,z'
'-x,-y,-z'
'-y+1/2,x,z'
'y+1/2,-x,-z'
'-x+1/2,-y+1/2,z'
'x+1/2,y+1/2,-z'
'y,-x+1/2,z'
'-y,x+1/2,-z'
'x+1/2,-y,-z'
'-x+1/2,y,z'
'-y,-x,-z'
'y,x,z'
'-x,y+1/2,-z'
'x,-y+1/2,z'
'y+1/2,x+1/2,-z'
'-y+1/2,-x+1/2,z'
loop_
_atom_site_label
_atom_site_fract_x
_atom_site_fract_y
_atom_site_fract_z
_atom_site_occupancy
Li1 0.250 0.750 0.000 1
Nd1 0.250 0.250 0.342 1
As1 0.250 0.250 0.800 1
H1 0.250 0.750 0.500 1

# SmDy2S PBE relaxed
# - raw formation energy (eV/atom) = -0.7423
data_SmDy2S
_cell_length_a 3.6640
_cell_length_b 3.6640
_cell_length_c 30.3532
_cell_angle_alpha 90.00
_cell_angle_beta 90.00
_cell_angle_gamma 120.00
_space_group_name_H-M_alt 'R -3 m'
_space_group_IT_number 166
_space_group_name_Hall '-R 3 2"'
loop_
_atom_site_label
_atom_site_fract_x
_atom_site_fract_y
_atom_site_fract_z
_atom_site_occupancy
Sm1 0.0000 0.0000 0.0000 1
Dy1 0.0000 0.0000 0.1126 1
S1 0.0000 0.0000 0.5000 1

# Tm6IrRu5 PBE relaxed
# - formation energy from the elements (meV per atom) = -518
data_Tm6IrRu5
_cell_length_a 4.746
_cell_length_b 14.222
_cell_length_c 6.730
_cell_angle_alpha 90.00
_cell_angle_beta 90.00
_cell_angle_gamma 90.00
_space_group_name_H-M_alt 'C m m m'
_space_group_IT_number 65
_space_group_name_Hall '-C 2 2'
loop_
_atom_site_label
_atom_site_fract_x
_atom_site_fract_y
_atom_site_fract_z
_atom_site_occupancy
Tm1 0.000 0.000 0.249 1
Tm2 0.000 0.333 0.249 1
Ir1 0.000 0.500 0.500 1
Ru1 0.000 0.166 0.000 1
Ru2 0.000 0.167 0.500 1
Ru3 0.000 0.500 0.000 1

# Sc6InRu2 PBE relaxed
# - formation energy from the elements (meV per atom) = -418
data_Sc6InRu2
_cell_length_a 8.759
_cell_length_b 8.874
_cell_length_c 9.917
_cell_angle_alpha 90.00
_cell_angle_beta 90.00
_cell_angle_gamma 90.00
_space_group_name_H-M_alt 'I m m m'
_space_group_IT_number 71
_space_group_name_Hall '-I 2 2'
loop_
_atom_site_label
_atom_site_fract_x
_atom_site_fract_y
_atom_site_fract_z
_atom_site_occupancy
Sc1 0.000 0.209 0.241 1
Sc2 0.193 0.500 0.169 1
Sc3 0.211 0.315 0.500 1
In1 0.000 0.000 0.000 1
In2 0.000 0.000 0.500 1
Ru1 0.000 0.328 0.000 1
Ru2 0.000 0.500 0.365 1

# CaTa2Tl PBE relaxed
# - formation energy from the elements (meV per atom) = 730
data_CaTa2Tl
_cell_length_a 2.963
_cell_length_b 5.077
_cell_length_c 5.894
_cell_angle_alpha 90.00
_cell_angle_beta 90.00
_cell_angle_gamma 90.00
_space_group_name_H-M_alt 'P m m m'
_space_group_IT_number 47
_space_group_name_Hall '-P 2 2'
loop_
_atom_site_label
_atom_site_fract_x
_atom_site_fract_y
_atom_site_fract_z
_atom_site_occupancy
Ca1 0.000 0.000 0.000 1
Ta1 0.500 0.500 0.242 1
Tl1 0.000 0.000 0.500 1

# K3Pt5 PBE relaxed
# - formation energy from the elements (meV per atom) = 286
data_K3Pt5
_cell_length_a 8.133
_cell_length_b 9.357
_cell_length_c 4.112
_cell_angle_alpha 90.00
_cell_angle_beta 90.00
_cell_angle_gamma 90.00
_space_group_name_H-M_alt 'C m m m'
_space_group_IT_number 65
_space_group_name_Hall '-C 2 2'
loop_
_atom_site_label
_atom_site_fract_x
_atom_site_fract_y
_atom_site_fract_z
_atom_site_occupancy
K1 0.000 0.000 0.000 1
K2 0.227 0.000 0.500 1
Pt1 0.000 0.293 0.500 1
Pt2 0.000 0.500 0.000 1
Pt3 0.250 0.250 0.000 1

# Ho8HgPt2 PBE relaxed
# - formation energy from the elements (meV per atom) = -498
data_Ho8HgPt2
_cell_length_a 8.599
_cell_length_b 13.360
_cell_length_c 5.481
_cell_angle_alpha 90.00
_cell_angle_beta 105.32
_cell_angle_gamma 90.00
_space_group_name_H-M_alt 'C 1 m 1'
_space_group_IT_number 8
_space_group_name_Hall 'C -2y'
loop_
_atom_site_label
_atom_site_fract_x
_atom_site_fract_y
_atom_site_fract_z
_atom_site_occupancy
Ho1 0.000 0.000 0.000 1
Ho2 0.090 0.374 0.776 1
Ho3 0.179 0.126 0.608 1
Ho4 0.269 0.500 0.384 1
Ho5 0.384 0.239 0.192 1
Hg1 0.385 0.000 0.191 1
Pt1 0.384 0.304 0.692 1

# CaEr2Cu6 PBE relaxed
# - formation energy from the elements (meV per atom) = -207
data_CaEr2Cu6
_cell_length_a 7.3096
_cell_length_b 7.3096
_cell_length_c 3.5983
_cell_angle_alpha 90.00
_cell_angle_beta 90.00
_cell_angle_gamma 120.00
_space_group_name_H-M_alt 'P 6/m m m'
_space_group_IT_number 191
_space_group_name_Hall '-P 6 2'
loop_
_atom_site_label
_atom_site_fract_x
_atom_site_fract_y
_atom_site_fract_z
_atom_site_occupancy
Ca1 0.0000 0.0000 0.0000 1
Er1 0.3333 0.6667 0.0000 1
Cu1 0.0000 0.3355 0.5000 1